Below is a relaxed structure of Ba2SbPd6Pt, with properties calculated at the PBE level.

Cell and atoms, written as CIF:
```
data_Ba2SbPd6Pt
_chemical_formula_sum 'Ba4 Sb2 Pd12 Pt2'
_cell_length_a 12.7073
_cell_length_b 5.6095
_cell_length_c 8.9893
_cell_angle_alpha 90.00
_cell_angle_beta 132.71
_cell_angle_gamma 90.00
_symmetry_space_group_name_H-M 'C 1 2/m 1'
_symmetry_Int_Tables_number 12
_symmetry_space_group_name_Hall '-C 2y'
loop_
_atom_site_label
_atom_site_type_symbol
_atom_site_fract_x
_atom_site_fract_y
_atom_site_fract_z
Ba1 Ba 0.2293 0.0000 0.1883
Sb1 Sb 0.0000 0.0000 0.5000
Pd1 Pd 0.0155 0.2558 0.2735
Pd2 Pd 0.2483 0.5000 0.3990
Pt1 Pt 0.0000 0.5000 0.0000
```

Values from the calculation:
Formation energy without anion corrections = -0.51 eV per atom


Below is a relaxed structure of Pr3In2Sn4, with properties calculated at the PBE level.

Cell and atoms, written as CIF:
```
data_Pr3In2Sn4
_chemical_formula_sum 'Pr6 In4 Sn8'
_cell_length_a 16.6424
_cell_length_b 4.7399
_cell_length_c 7.1848
_cell_angle_alpha 90.00
_cell_angle_beta 111.96
_cell_angle_gamma 90.00
_symmetry_space_group_name_H-M 'C 1 2/m 1'
_symmetry_Int_Tables_number 12
_symmetry_space_group_name_Hall '-C 2y'
loop_
_atom_site_label
_atom_site_type_symbol
_atom_site_fract_x
_atom_site_fract_y
_atom_site_fract_z
Pr1 Pr 0.0000 0.0000 0.0000
Pr2 Pr 0.1303 0.0000 0.6230
In1 In 0.1604 0.5000 0.9898
Sn1 Sn 0.0212 0.5000 0.3158
Sn2 Sn 0.2143 0.0000 0.2592
```

Values from the calculation:
Energy of formation from the pure elements = -0.56 eV/atom


Below is a relaxed structure of Tb2Al3Ge2, with properties calculated at the PBE level.

Cell and atoms, written as CIF:
```
data_Tb2Al3Ge2
_chemical_formula_sum 'Tb2 Al3 Ge2'
_cell_length_a 4.5552
_cell_length_b 3.3438
_cell_length_c 9.8861
_cell_angle_alpha 90.00
_cell_angle_beta 103.24
_cell_angle_gamma 90.00
_symmetry_space_group_name_H-M 'P 1 2/m 1'
_symmetry_Int_Tables_number 10
_symmetry_space_group_name_Hall '-P 2y'
loop_
_atom_site_label
_atom_site_type_symbol
_atom_site_fract_x
_atom_site_fract_y
_atom_site_fract_z
Tb1 Tb 0.1434 0.0000 0.2855
Al1 Al 0.0000 0.5000 0.0000
Al2 Al 0.2825 0.5000 0.5656
Ge1 Ge 0.4201 0.5000 0.8395
```

Values from the calculation:
Energy of formation from the pure elements = -0.40 eV/atom


Below is a relaxed structure of NdHoRh, with properties calculated at the PBE level.

Cell and atoms, written as CIF:
```
data_NdHoRh
_chemical_formula_sum 'Nd4 Ho4 Rh4'
_cell_length_a 6.9312
_cell_length_b 6.0631
_cell_length_c 10.3304
_cell_angle_alpha 90.00
_cell_angle_beta 128.45
_cell_angle_gamma 90.00
_symmetry_space_group_name_H-M 'P 1 21/c 1'
_symmetry_Int_Tables_number 14
_symmetry_space_group_name_Hall '-P 2ybc'
loop_
_atom_site_label
_atom_site_type_symbol
_atom_site_fract_x
_atom_site_fract_y
_atom_site_fract_z
Nd1 Nd 0.1841 0.1314 0.3855
Ho1 Ho 0.3382 0.6159 0.6320
Rh1 Rh 0.3365 0.6695 0.3652
```

Values from the calculation:
Energy of formation from the pure elements = -0.50 eV/atom
Energy relative to the lowest polymorph listed for this composition = 0.070 eV per atom


no.,density of states at the Fermi level (states/eV/cell),theoretical density (g cm⁻³),uncorrected energy (Ha/atom)
1,10.61,8.676,-0.185
2,7.83,7.122,-0.167
3,3.07,6.164,-0.171
4,11.31,8.051,-0.223